No. 1
VASP calculation (PBE) on crystalline Li3AsRu at its relaxed geometry.

Values from the calculation:
- offset from the most stable computed form (meV per atom) = 252.9
- crystal system = cubic
- energy relative to the elements (eV per atom) = 0.7960
- DFT total energy (eV per atom) = -3.1373
- Fermi-level density of states (states/eV per atom) = 0.5097

Cell: 4.484 4.484 4.484 Å, 90.00 90.00 90.00°
Space group Pm-3m (No. 221)
Asymmetric unit:
Li (0.000, 0.000, 0.500)
As (0.500, 0.500, 0.500)
Ru (0.000, 0.000, 0.000)

No. 2
VASP calculation (PBE) on crystalline LiAsRu at its relaxed geometry.

Values from the calculation:
- crystal system = orthorhombic
- energy relative to the elements (eV per atom) = 0.0777
- DFT total energy (eV per atom) = -5.2020
- Fermi-level density of states (states/eV per atom) = 0.8075

Cell: 3.113 4.788 12.573 Å, 90.00 90.00 90.00°
Space group Fmm2 (No. 42)
Asymmetric unit:
Li (0.000, 0.000, 0.000)
As (0.000, 0.000, 0.679)
Ru (0.000, 0.000, 0.328)

No. 3
VASP calculation (PBE) on crystalline LiAsRu at its relaxed geometry.

Values from the calculation:
- crystal system = cubic
- energy relative to the elements (eV per atom) = -0.1073
- DFT total energy (eV per atom) = -5.3870
- Fermi-level density of states (states/eV per atom) = 0.5408

Cell: 5.751 5.751 5.751 Å, 90.00 90.00 90.00°
Space group F-43m (No. 216)
Asymmetric unit:
Li (0.000, 0.000, 0.000)
As (0.000, 0.000, 0.500)
Ru (0.250, 0.250, 0.250)